# 1
VASP calculation (PBEsol) on a relaxed CsBa3Al crystal.

abc: 6.2768 6.2768 6.2768
angles: 90.00 90.00 90.00
Space group Pm-3m (No. 221)
One atom of each set of equivalent atoms:
1 Cs 0.0000 0.0000 0.0000
2 Ba 0.0000 0.0000 0.5000
3 Al 0.5000 0.5000 0.5000

Summary:
Distance to the lowest polymorph of the same formula in meV per atom: 681

=====

# 2
VASP calculation (PBEsol) on a relaxed TiAs2O7 crystal.

abc: 6.9265 7.9973 9.4943
angles: 90.00 103.98 90.00
Space group C2/c (No. 15)
One atom of each set of equivalent atoms:
1 Ti 0.0000 0.0000 0.0000
2 As 0.1955 0.3661 0.1991
3 O 0.0000 0.4743 0.2500
4 O 0.1046 0.1792 0.1310
5 O 0.1267 0.1626 0.6451
6 O 0.2418 0.0082 0.9252

Summary:
Energy relative to the elements, uncorrected in eV/atom: -1.69
Distance to the lowest polymorph of the same formula in meV per atom: 8

=====

# 3
VASP calculation (PBEsol) on a relaxed Zr2PbW crystal.

abc: 3.5072 3.5072 6.6000
angles: 90.00 90.00 90.00
Space group P4/mmm (No. 123)
One atom of each set of equivalent atoms:
1 Zr 0.0000 0.0000 0.2290
2 Pb 0.5000 0.5000 0.5000
3 W 0.5000 0.5000 0.0000

Summary:
Electronic total energy in eV/atom: -9.044

=====

# 4
VASP calculation (PBEsol) on a relaxed HfZrSbTe2 crystal.

abc: 5.3820 5.3820 5.4701
angles: 90.00 90.00 90.00
Space group P4/mmm (No. 123)
One atom of each set of equivalent atoms:
1 Hf 0.0000 0.0000 0.0000
2 Zr 0.5000 0.5000 0.5000
3 Sb 0.5000 0.5000 0.0000
4 Te 0.0000 0.5000 0.5000

Summary:
Energy relative to the elements, uncorrected in eV/atom: 0.50

=====

# 5
VASP calculation (PBEsol) on a relaxed CrB2O crystal.

abc: 4.7243 4.7243 5.8175
angles: 90.00 90.00 90.00
Space group I-42d (No. 122)
One atom of each set of equivalent atoms:
1 Cr 0.0000 0.0000 0.0000
2 B 0.1613 0.7500 0.6250
3 O 0.0000 0.0000 0.5000

Summary:
Energy relative to the elements, uncorrected in eV/atom: 0.18

=====

# 6
VASP calculation (PBEsol) on a relaxed BOsS3 crystal.

abc: 4.5647 4.5647 4.5647
angles: 90.00 90.00 90.00
Space group Pm-3m (No. 221)
One atom of each set of equivalent atoms:
1 B 0.0000 0.0000 0.0000
2 Os 0.5000 0.5000 0.5000
3 S 0.0000 0.5000 0.5000

Summary:
Energy relative to the elements, uncorrected in eV/atom: 1.35